(1)
Density functional theory data (GGA-PBE) for CePuGaOs after structural relaxation.

Properties
Calculated formation energy: -0.164 eV per atom

a = 4.9481 Å, b = 4.9481 Å, c = 4.9481 Å
α = 60.00°, β = 60.00°, γ = 60.00°
Fractional coordinates of all 4 atoms:
Os  0.0000  0.0000  0.0000
Ga  0.5000  0.5000  0.5000
Ce  0.7500  0.7500  0.7500
Pu  0.2500  0.2500  0.2500

(2)
Density functional theory data (GGA-PBE) for CrSbRuRh after structural relaxation.

Properties
Raw formation energy: -0.094 eV/atom

a = 4.4403 Å, b = 4.4403 Å, c = 4.4403 Å
α = 60.00°, β = 60.00°, γ = 60.00°
Fractional coordinates of all 4 atoms:
Ru  0.0000  0.0000  0.0000
Sb  0.7500  0.7500  0.7500
Rh  0.5000  0.5000  0.5000
Cr  0.2500  0.2500  0.2500

(3)
Density functional theory data (GGA-PBE) for NaB2H after structural relaxation.

a = 3.9273 Å, b = 3.9273 Å, c = 3.9273 Å
α = 60.00°, β = 60.00°, γ = 60.00°
Fractional coordinates of all 4 atoms:
Na  0.5000  0.5000  0.5000
B  0.7500  0.7500  0.7500
B  0.2500  0.2500  0.2500
H  0.0000  0.0000  0.0000

For the records above, the corresponding calculated total energy values read -8.80, -7.69, -2.39 eV/atom.